# 1
Material: La2Y3
Method: DFT, PBE-GGA
State: relaxed

Cell lengths 14.8866, 3.6462, 3.6462 Å; angles 60.00, 97.03, 97.03 degrees
Fractional positions:
La (0.2006, 0.4002, 0.4002)
La (0.7994, 0.5998, 0.5998)
Y (0.0000, 0.0000, 0.0000)
Y (0.5970, 0.1990, 0.1990)
Y (0.4030, 0.8010, 0.8010)

The value obtained for the formation energy is 9 meV/atom. The space group is R-3m.

# 2
Material: LaY3
Method: DFT, PBE-GGA
State: relaxed

Cell lengths 5.8369, 5.8369, 5.8369 Å; angles 90.00, 90.00, 90.00 degrees
Fractional positions:
La (0.0000, 0.0000, 0.0000)
Y (0.5000, 0.0000, 0.0000)
Y (0.0000, 0.5000, 0.0000)
Y (0.0000, 0.0000, 0.5000)

The value obtained for the formation energy is 1246 meV/atom. The space group is Pm-3m.